Material: BaLiErSe3
Method: DFT, PBE-GGA
State: optimized geometry

Calculated values
Space group   Cmcm, No. 63
Spin magnetization   0.01 μB/f.u.
Energy above the lowest structure with this stoichiometry   0 meV/atom

a b c (Å): 7.344 7.344 10.689
angles (deg): 90.00 90.00 146.39
Atoms (fractional coordinates):
Ba: 0.246 0.754 0.750
Ba: 0.754 0.246 0.250
Li: 0.029 0.971 0.250
Li: 0.971 0.029 0.750
Er: 0.500 0.500 0.000
Er: 0.500 0.500 0.500
Se: 0.132 0.868 0.057
Se: 0.132 0.868 0.443
Se: 0.432 0.568 0.250
Se: 0.568 0.432 0.750
Se: 0.868 0.132 0.557
Se: 0.868 0.132 0.943



Material: Ta4InNiN2
Method: DFT, PBE-GGA
State: optimized geometry

Calculated values
Energy   -76.2 eV per cell
Space group   P-6m2, No. 187
Spin magnetization   0.01 μB/f.u.

a b c (Å): 3.136 3.136 13.467
angles (deg): 90.00 90.00 120.00
Atoms (fractional coordinates):
Ta: 0.000 0.000 0.143
Ta: 0.000 0.000 0.857
Ta: 0.667 0.333 0.320
Ta: 0.667 0.333 0.680
In: 0.000 0.000 0.500
Ni: 0.667 0.333 0.000
N: 0.333 0.667 0.231
N: 0.333 0.667 0.769



Material: ZrInPd2
Method: DFT, PBE-GGA
State: optimized geometry

Calculated values
Energy   -93.8 eV per cell
Space group   F-43m, No. 216
Spin magnetization   0.00 μB/f.u.

a b c (Å): 6.625 6.625 6.625
angles (deg): 90.00 90.00 90.00
Atoms (fractional coordinates):
Zr: 0.000 0.000 0.000
Zr: 0.000 0.500 0.500
Zr: 0.500 0.000 0.500
Zr: 0.500 0.500 0.000
In: 0.250 0.250 0.750
In: 0.250 0.750 0.250
In: 0.750 0.250 0.250
In: 0.750 0.750 0.750
Pd: 0.000 0.000 0.500
Pd: 0.000 0.500 0.000
Pd: 0.250 0.250 0.250
Pd: 0.250 0.750 0.750
Pd: 0.500 0.000 0.000
Pd: 0.500 0.500 0.500
Pd: 0.750 0.250 0.750
Pd: 0.750 0.750 0.250



Material: KTcAgS3
Method: DFT, PBE-GGA
State: optimized geometry

Calculated values
Space group   Pnma, No. 62
Spin magnetization   0.12 μB/f.u.
Energy above the lowest structure with this stoichiometry   0 meV/atom

a b c (Å): 13.856 3.599 10.143
angles (deg): 90.00 90.00 90.00
Atoms (fractional coordinates):
K: 0.129 0.250 0.006
K: 0.371 0.750 0.506
K: 0.629 0.250 0.494
K: 0.871 0.750 0.994
Tc: 0.031 0.750 0.599
Tc: 0.469 0.250 0.099
Tc: 0.531 0.750 0.901
Tc: 0.969 0.250 0.401
Ag: 0.208 0.750 0.258
Ag: 0.292 0.250 0.758
Ag: 0.708 0.750 0.242
Ag: 0.792 0.250 0.742
S: 0.031 0.750 0.244
S: 0.117 0.250 0.500
S: 0.169 0.750 0.760
S: 0.331 0.250 0.260
S: 0.383 0.750 0.000
S: 0.469 0.250 0.744
S: 0.531 0.750 0.256
S: 0.617 0.250 0.000
S: 0.669 0.750 0.740
S: 0.831 0.250 0.240
S: 0.883 0.750 0.500
S: 0.969 0.250 0.756



Material: Ho2Fe2B2CN
Method: DFT, PBE-GGA
State: optimized geometry

Calculated values
Energy   -62.4 eV per cell
Space group   P4mm, No. 99
Spin magnetization   2.93 μB/f.u.

a b c (Å): 3.469 3.469 7.791
angles (deg): 90.00 90.00 90.00
Atoms (fractional coordinates):
Ho: 0.000 0.000 0.000
Ho: 0.500 0.500 0.324
Fe: 0.000 0.500 0.656
Fe: 0.500 0.000 0.656
B: 0.000 0.000 0.490
B: 0.500 0.500 0.824
C: 0.500 0.500 0.017
N: 0.000 0.000 0.303



Material: BeZnSb
Method: DFT, PBE-GGA
State: optimized geometry

Calculated values
Energy   -30.7 eV per cell
Space group   F-43m, No. 216

a b c (Å): 6.275 6.275 6.275
angles (deg): 90.00 90.00 90.00
Atoms (fractional coordinates):
Be: 0.000 0.000 0.000
Be: 0.000 0.500 0.500
Be: 0.500 0.000 0.500
Be: 0.500 0.500 0.000
Zn: 0.000 0.000 0.500
Zn: 0.000 0.500 0.000
Zn: 0.500 0.000 0.000
Zn: 0.500 0.500 0.500
Sb: 0.250 0.250 0.750
Sb: 0.250 0.750 0.250
Sb: 0.750 0.250 0.250
Sb: 0.750 0.750 0.750



Material: TaCoAgB
Method: DFT, PBE-GGA
State: optimized geometry

Calculated values
Space group   F-43m, No. 216
Spin magnetization   0.00 μB/f.u.
Energy above the lowest structure with this stoichiometry   94 meV/atom

a b c (Å): 5.968 5.968 5.968
angles (deg): 90.00 90.00 90.00
Atoms (fractional coordinates):
Ta: 0.000 0.000 0.000
Ta: 0.000 0.500 0.500
Ta: 0.500 0.000 0.500
Ta: 0.500 0.500 0.000
Co: 0.250 0.250 0.750
Co: 0.250 0.750 0.250
Co: 0.750 0.250 0.250
Co: 0.750 0.750 0.750
Ag: 0.250 0.250 0.250
Ag: 0.250 0.750 0.750
Ag: 0.750 0.250 0.750
Ag: 0.750 0.750 0.250
B: 0.000 0.000 0.500
B: 0.000 0.500 0.000
B: 0.500 0.000 0.000
B: 0.500 0.500 0.500



Material: ZrUOs
Method: DFT, PBE-GGA
State: optimized geometry

Calculated values
Energy of formation from the pure elements   0.63 eV/atom
Space group   F-43m, No. 216
Spin magnetization   0.02 μB/f.u.
Energy above the lowest structure with this stoichiometry   466 meV/atom

a b c (Å): 6.365 6.365 6.365
angles (deg): 90.00 90.00 90.00
Atoms (fractional coordinates):
Zr: 0.000 0.000 0.000
Zr: 0.000 0.500 0.500
Zr: 0.500 0.000 0.500
Zr: 0.500 0.500 0.000
U: 0.250 0.250 0.750
U: 0.250 0.750 0.250
U: 0.750 0.250 0.250
U: 0.750 0.750 0.750
Os: 0.000 0.000 0.500
Os: 0.000 0.500 0.000
Os: 0.500 0.000 0.000
Os: 0.500 0.500 0.500



Material: HfMoH4
Method: DFT, PBE-GGA
State: optimized geometry

Calculated values
Energy   -71.4 eV per cell
Space group   C2/m, No. 12
Spin magnetization   0.00 μB/f.u.

a b c (Å): 4.548 4.548 4.515
angles (deg): 90.00 90.22 90.00
Atoms (fractional coordinates):
Hf: 0.000 0.000 0.000
Hf: 0.500 0.500 0.000
Mo: 0.000 0.500 0.500
Mo: 0.500 0.000 0.500
H: 0.250 0.249 0.729
H: 0.250 0.251 0.271
H: 0.250 0.749 0.271
H: 0.250 0.751 0.729
H: 0.750 0.249 0.271
H: 0.750 0.251 0.729
H: 0.750 0.749 0.729
H: 0.750 0.751 0.271



Material: Pm2SeF4
Method: DFT, PBE-GGA
State: optimized geometry

Calculated values
Energy   -45.5 eV per cell
Space group   R-3m, No. 166
Spin magnetization   0.00 μB/f.u.

a b c (Å): 7.859 7.859 7.859
angles (deg): 29.76 29.76 29.76
Atoms (fractional coordinates):
Pm: 0.243 0.243 0.243
Pm: 0.757 0.757 0.757
Se: 0.000 0.000 0.000
F: 0.139 0.139 0.139
F: 0.430 0.430 0.430
F: 0.570 0.570 0.570
F: 0.861 0.861 0.861



Material: NaHoGaSe3
Method: DFT, PBE-GGA
State: optimized geometry

Calculated values
Energy   -52.2 eV per cell
Space group   Cmcm, No. 63
Spin magnetization   0.01 μB/f.u.

a b c (Å): 6.974 6.974 10.836
angles (deg): 90.00 90.00 142.57
Atoms (fractional coordinates):
Na: 0.246 0.754 0.750
Na: 0.754 0.246 0.250
Ho: 0.000 0.000 0.000
Ho: 0.000 0.000 0.500
Ga: 0.491 0.509 0.250
Ga: 0.509 0.491 0.750
Se: 0.080 0.920 0.250
Se: 0.368 0.632 0.071
Se: 0.368 0.632 0.429
Se: 0.632 0.368 0.571
Se: 0.632 0.368 0.929
Se: 0.920 0.080 0.750



Material: Y2AgPb2
Method: DFT, PBE-GGA
State: optimized geometry

Calculated values
Space group   P4/mbm, No. 127
Spin magnetization   0.01 μB/f.u.
Energy above the lowest structure with this stoichiometry   0 meV/atom

a b c (Å): 7.686 7.686 4.598
angles (deg): 90.00 90.00 90.00
Atoms (fractional coordinates):
Y: 0.169 0.331 0.000
Y: 0.331 0.831 0.000
Y: 0.669 0.169 0.000
Y: 0.831 0.669 0.000
Ag: 0.000 0.000 0.500
Ag: 0.500 0.500 0.500
Pb: 0.140 0.640 0.500
Pb: 0.360 0.140 0.500
Pb: 0.640 0.860 0.500
Pb: 0.860 0.360 0.500